{
  "formula": "Mg3Hg",
  "functional": "GGA-PBEsol",
  "state": "relaxed",
  "dos_ef_per_ev_cell": 8.53,
  "space_group": "P6_3/mmc, No. 194",
  "crystal_system": "hexagonal",
  "e_form_ev_per_fu": -0.8,
  "lattice_angstrom": [[6.179, 0.000, 0.000], [-3.089, 5.351, 0.000], [0.000, 0.000, 14.987]],
  "species": ["Hg", "Hg", "Hg", "Hg", "Hg", "Hg", "Mg", "Mg", "Mg", "Mg", "Mg", "Mg", "Mg", "Mg", "Mg", "Mg", "Mg", "Mg", "Mg", "Mg", "Mg", "Mg", "Mg", "Mg"],
  "fractional_positions": [[0.000, 0.000, 0.250], [0.000, 0.000, 0.750], [0.667, 0.333, 0.916], [0.667, 0.333, 0.584], [0.333, 0.667, 0.084], [0.333, 0.667, 0.416], [0.004, 0.502, 0.250], [0.996, 0.498, 0.750], [0.833, 0.167, 0.084], [0.833, 0.167, 0.416], [0.833, 0.666, 0.084], [0.833, 0.666, 0.416], [0.666, 0.833, 0.916], [0.666, 0.833, 0.584], [0.498, 0.502, 0.250], [0.502, 0.498, 0.750], [0.498, 0.996, 0.250], [0.502, 0.004, 0.750], [0.334, 0.167, 0.084], [0.334, 0.167, 0.416], [0.167, 0.334, 0.916], [0.167, 0.334, 0.584], [0.167, 0.833, 0.916], [0.167, 0.833, 0.584]]
}



{
  "formula": "AsPtRh",
  "functional": "GGA-PBEsol",
  "state": "relaxed",
  "dos_ef_per_ev_cell": 0.88,
  "space_group": "P3m1, No. 156",
  "crystal_system": "trigonal",
  "e_form_ev_per_fu": -0.8,
  "lattice_angstrom": [[3.439, 0.000, 0.000], [0.000, 3.932, 0.000], [0.000, -1.966, 3.406]],
  "species": ["As", "Rh", "Pt"],
  "fractional_positions": [[0.027, 0.000, 0.000], [0.248, 0.667, 0.333], [0.725, 0.333, 0.667]]
}



{
  "formula": "Tl2Hg2Te",
  "functional": "GGA-PBEsol",
  "state": "relaxed",
  "raw_formation_energy_mev_per_atom": -84,
  "dos_ef_per_ev_cell": 1.12,
  "space_group": "I4/mmm, No. 139",
  "crystal_system": "tetragonal",
  "lattice_angstrom": [[-2.463, 3.013, -1.279], [0.777, -1.017, -3.892], [-6.046, -6.593, 2.672]],
  "species": ["Tl", "Tl", "Te", "Hg", "Hg"],
  "fractional_positions": [[0.406, 0.406, 0.811], [0.594, 0.594, 0.189], [0.000, 0.000, 0.000], [0.250, 0.750, 0.500], [0.750, 0.250, 0.500]]
}



{
  "formula": "ZnSnBr2",
  "functional": "GGA-PBEsol",
  "state": "relaxed",
  "raw_formation_energy_mev_per_atom": -185,
  "space_group": "R-3m, No. 166",
  "crystal_system": "trigonal",
  "lattice_angstrom": [[-4.056, 0.209, -0.651], [-2.320, -3.375, 0.376], [-3.588, 1.041, 9.690]],
  "species": ["Zn", "Sn", "Br", "Br"],
  "fractional_positions": [[0.000, 0.000, 0.000], [0.500, 0.500, 0.500], [0.892, 0.892, 0.323], [0.108, 0.108, 0.677]]
}



{
  "formula": "CdSe2N",
  "functional": "GGA-PBEsol",
  "state": "relaxed",
  "raw_formation_energy_mev_per_atom": 1203,
  "dos_ef_per_ev_cell": 2.39,
  "space_group": "Fm-3m, No. 225",
  "crystal_system": "cubic",
  "lattice_angstrom": [[4.617, 0.000, 0.000], [2.309, 3.999, 0.000], [2.309, 1.333, 3.770]],
  "species": ["N", "Se", "Se", "Cd"],
  "fractional_positions": [[0.000, 0.000, 0.000], [0.250, 0.250, 0.250], [0.750, 0.750, 0.750], [0.500, 0.500, 0.500]]
}



{
  "formula": "CoHNO2",
  "functional": "GGA-PBEsol",
  "state": "relaxed",
  "dos_ef_per_ev_cell": 3.09,
  "space_group": "P4/mmm, No. 123",
  "crystal_system": "tetragonal",
  "lattice_angstrom": [[3.451, 0.000, 0.000], [0.000, 3.672, 0.000], [0.000, 0.000, 3.672]],
  "species": ["H", "Co", "O", "O", "N"],
  "fractional_positions": [[0.500, 0.500, 0.500], [0.000, 0.000, 0.000], [0.000, 0.000, 0.500], [0.000, 0.500, 0.000], [0.500, 0.000, 0.000]]
}



{
  "formula": "LiNbCl3",
  "functional": "GGA-PBEsol",
  "state": "relaxed",
  "raw_formation_energy_mev_per_atom": -415,
  "dos_ef_per_ev_cell": 3.06,
  "space_group": "Pm-3m, No. 221",
  "crystal_system": "cubic",
  "lattice_angstrom": [[-2.974, 2.650, 2.093], [-3.271, -1.569, -2.662], [-0.838, -3.281, 2.963]],
  "species": ["Nb", "Li", "Cl", "Cl", "Cl"],
  "fractional_positions": [[0.500, 0.500, 0.500], [0.000, 0.000, 0.000], [0.000, 0.500, 0.000], [0.000, 0.000, 0.500], [0.500, 0.000, 0.000]]
}



{
  "formula": "BaLi3Ru",
  "functional": "GGA-PBEsol",
  "state": "relaxed",
  "dos_ef_per_ev_cell": 2.50,
  "space_group": "Pm-3m, No. 221",
  "crystal_system": "cubic",
  "e_form_ev_per_fu": 8.3,
  "lattice_angstrom": [[-3.003, -3.197, 1.881], [3.126, -0.878, 3.498], [-1.997, 3.433, 2.646]],
  "species": ["Ru", "Ba", "Li", "Li", "Li"],
  "fractional_positions": [[0.500, 0.500, 0.500], [0.000, 0.000, 0.000], [0.000, 0.500, 0.000], [0.000, 0.000, 0.500], [0.500, 0.000, 0.000]]
}



{
  "formula": "HoFe2Ge2",
  "functional": "GGA-PBEsol",
  "state": "relaxed",
  "dos_ef_per_ev_cell": 5.17,
  "space_group": "I4/mmm, No. 139",
  "crystal_system": "tetragonal",
  "e_form_ev_per_fu": -2.6,
  "lattice_angstrom": [[3.943, 0.000, 0.000], [0.000, 3.943, 0.000], [-1.971, -1.971, 4.905]],
  "species": ["Ge", "Ge", "Ho", "Fe", "Fe"],
  "fractional_positions": [[0.370, 0.370, 0.741], [0.630, 0.630, 0.259], [0.000, 0.000, 0.000], [0.250, 0.750, 0.500], [0.750, 0.250, 0.500]]
}



{
  "formula": "Ba2AsF",
  "functional": "GGA-PBEsol",
  "state": "relaxed",
  "raw_formation_energy_mev_per_atom": -1873,
  "space_group": "I-42d, No. 122",
  "crystal_system": "tetragonal",
  "lattice_angstrom": [[6.296, 0.000, 0.000], [0.000, 6.296, 0.000], [-3.148, -3.148, 7.201]],
  "species": ["As", "As", "Ba", "Ba", "Ba", "Ba", "F", "F"],
  "fractional_positions": [[0.250, 0.750, 0.500], [0.000, 0.000, 0.000], [0.822, 0.375, 0.250], [0.428, 0.875, 0.250], [0.625, 0.572, 0.750], [0.125, 0.178, 0.750], [0.750, 0.250, 0.500], [0.500, 0.500, 0.000]]
}



{
  "formula": "CuOs2Ru",
  "functional": "GGA-PBEsol",
  "state": "relaxed",
  "dos_ef_per_ev_cell": 4.02,
  "space_group": "Pmm2, No. 25",
  "crystal_system": "orthorhombic",
  "e_form_ev_per_fu": 1.0,
  "lattice_angstrom": [[-2.194, 1.538, 0.272], [-2.185, -2.999, -0.659], [-0.102, -1.052, 5.125]],
  "species": ["Cu", "Os", "Os", "Ru"],
  "fractional_positions": [[0.000, 0.500, 0.748], [0.500, 0.000, 0.996], [0.000, 0.500, 0.246], [0.500, 0.000, 0.510]]
}



{
  "formula": "ThTeO",
  "functional": "GGA-PBEsol",
  "state": "relaxed",
  "raw_formation_energy_mev_per_atom": -2662,
  "dos_ef_per_ev_cell": 0.08,
  "space_group": "P4/nmm, No. 129",
  "crystal_system": "tetragonal",
  "lattice_angstrom": [[4.103, 0.000, 0.000], [0.000, 4.103, 0.000], [0.000, 0.000, 7.499]],
  "species": ["Te", "Te", "Th", "Th", "O", "O"],
  "fractional_positions": [[0.500, 0.000, 0.632], [0.000, 0.500, 0.368], [0.500, 0.000, 0.170], [0.000, 0.500, 0.830], [0.500, 0.500, 0.000], [0.000, 0.000, 0.000]]
}



{
  "formula": "La2SiNi",
  "functional": "GGA-PBEsol",
  "state": "relaxed",
  "raw_formation_energy_mev_per_atom": -555,
  "dos_ef_per_ev_cell": 3.41,
  "space_group": "Amm2, No. 38",
  "crystal_system": "orthorhombic",
  "lattice_angstrom": [[4.140, 0.000, 0.000], [0.000, 4.466, 0.000], [0.000, -2.233, 4.977]],
  "species": ["Ni", "Si", "La", "La"],
  "fractional_positions": [[0.000, 0.804, 0.608], [0.500, 0.701, 0.401], [0.000, 0.093, 0.187], [0.500, 0.399, 0.797]]
}



{
  "formula": "HfNiPS2",
  "functional": "GGA-PBEsol",
  "state": "relaxed",
  "raw_formation_energy_mev_per_atom": -66,
  "dos_ef_per_ev_cell": 2.71,
  "space_group": "P4/mmm, No. 123",
  "crystal_system": "tetragonal",
  "lattice_angstrom": [[-1.042, 4.207, 0.008], [-0.656, -0.171, 4.281], [4.148, 1.026, 0.676]],
  "species": ["Ni", "S", "S", "Hf", "P"],
  "fractional_positions": [[0.000, 0.000, 0.000], [0.000, 0.500, 0.000], [0.500, 0.000, 0.000], [0.500, 0.500, 0.500], [0.000, 0.000, 0.500]]
}



{
  "formula": "MoP3C",
  "functional": "GGA-PBEsol",
  "state": "relaxed",
  "dos_ef_per_ev_cell": 3.76,
  "space_group": "Pm-3m, No. 221",
  "crystal_system": "cubic",
  "e_form_ev_per_fu": 4.6,
  "lattice_angstrom": [[-3.415, -0.060, 1.944], [1.352, -2.897, 2.286], [1.398, 2.655, 2.538]],
  "species": ["P", "P", "P", "Mo", "C"],
  "fractional_positions": [[0.000, 0.500, 0.000], [0.000, 0.000, 0.500], [0.500, 0.000, 0.000], [0.500, 0.500, 0.500], [0.000, 0.000, 0.000]]
}



{
  "formula": "Sc2CdP",
  "functional": "GGA-PBEsol",
  "state": "relaxed",
  "dos_ef_per_ev_cell": 2.45,
  "space_group": "R-3m, No. 166",
  "crystal_system": "trigonal",
  "e_form_ev_per_fu": -3.4,
  "lattice_angstrom": [[-0.207, 2.458, 2.605], [0.164, -1.012, 3.438], [7.424, 1.245, 1.885]],
  "species": ["Sc", "Sc", "P", "Cd"],
  "fractional_positions": [[0.733, 0.733, 0.802], [0.267, 0.267, 0.198], [0.000, 0.000, 0.000], [0.500, 0.500, 0.500]]
}



{
  "formula": "P2PbCl",
  "functional": "GGA-PBEsol",
  "state": "relaxed",
  "raw_formation_energy_mev_per_atom": -146,
  "dos_ef_per_ev_cell": 0.72,
  "space_group": "Cm, No. 8",
  "crystal_system": "monoclinic",
  "lattice_angstrom": [[-2.018, 1.596, 2.179], [-2.337, -2.085, -3.246], [1.137, -5.169, 4.840]],
  "species": ["Cl", "P", "P", "Pb"],
  "fractional_positions": [[0.748, 0.496, 0.282], [0.969, 0.939, 0.900], [0.301, 0.601, 0.801], [0.482, 0.964, 0.517]]
}



{
  "formula": "YMg2Al",
  "functional": "GGA-PBEsol",
  "state": "relaxed",
  "dos_ef_per_ev_cell": 2.23,
  "space_group": "P4/mmm, No. 123",
  "crystal_system": "tetragonal",
  "e_form_ev_per_fu": -0.9,
  "lattice_angstrom": [[4.361, 0.000, 0.000], [0.000, 4.361, 0.000], [0.000, 0.000, 4.708]],
  "species": ["Y", "Mg", "Mg", "Al"],
  "fractional_positions": [[0.500, 0.500, 0.500], [0.000, 0.500, 0.000], [0.500, 0.000, 0.000], [0.000, 0.000, 0.500]]
}



{
  "formula": "Nb2O5",
  "functional": "GGA-PBEsol",
  "state": "relaxed",
  "raw_formation_energy_mev_per_atom": -2510,
  "space_group": "C2/m, No. 12",
  "crystal_system": "monoclinic",
  "lattice_angstrom": [[-3.809, 0.321, -0.258], [-3.132, -3.147, 13.891], [-1.302, 13.318, 7.383]],
  "species": ["Nb", "Nb", "Nb", "Nb", "Nb", "Nb", "Nb", "Nb", "Nb", "Nb", "Nb", "Nb", "Nb", "Nb", "Nb", "Nb", "O", "O", "O", "O", "O", "O", "O", "O", "O", "O", "O", "O", "O", "O", "O", "O", "O", "O", "O", "O", "O", "O", "O", "O", "O", "O", "O", "O", "O", "O", "O", "O", "O", "O", "O", "O", "O", "O", "O", "O"],
  "fractional_positions": [[0.939, 0.022, 0.100], [0.061, 0.978, 0.900], [0.342, 0.216, 0.100], [0.658, 0.784, 0.900], [0.208, 0.486, 0.097], [0.792, 0.514, 0.903], [0.075, 0.753, 0.097], [0.925, 0.247, 0.903], [0.980, 0.670, 0.370], [0.020, 0.330, 0.630], [0.845, 0.939, 0.370], [0.155, 0.061, 0.630], [0.248, 0.136, 0.367], [0.752, 0.864, 0.633], [0.113, 0.408, 0.367], [0.887, 0.592, 0.633], [0.425, 0.061, 0.088], [0.575, 0.939, 0.912], [0.871, 0.185, 0.073], [0.129, 0.815, 0.927], [0.727, 0.485, 0.061], [0.273, 0.515, 0.939], [0.588, 0.769, 0.055], [0.412, 0.231, 0.945], [0.481, 0.686, 0.351], [0.519, 0.314, 0.649], [0.331, 0.979, 0.359], [0.669, 0.021, 0.641], [0.771, 0.101, 0.357], [0.229, 0.899, 0.643], [0.624, 0.397, 0.355], [0.376, 0.603, 0.645], [0.285, 0.344, 0.085], [0.715, 0.656, 0.915], [0.145, 0.625, 0.085], [0.855, 0.375, 0.915], [0.015, 0.910, 0.059], [0.985, 0.090, 0.941], [0.898, 0.981, 0.224], [0.102, 0.019, 0.776], [0.304, 0.168, 0.224], [0.696, 0.832, 0.776], [0.168, 0.443, 0.220], [0.832, 0.557, 0.780], [0.025, 0.733, 0.218], [0.975, 0.267, 0.782], [0.909, 0.815, 0.367], [0.091, 0.185, 0.633], [0.188, 0.263, 0.362], [0.812, 0.737, 0.638], [0.052, 0.543, 0.352], [0.948, 0.457, 0.648], [0.934, 0.632, 0.500], [0.066, 0.368, 0.500], [0.792, 0.915, 0.501], [0.208, 0.085, 0.499]]
}



{
  "formula": "TiOF2",
  "functional": "GGA-PBEsol",
  "state": "relaxed",
  "raw_formation_energy_mev_per_atom": -3185,
  "dos_ef_per_ev_cell": 0.00,
  "space_group": "P4/mmm, No. 123",
  "crystal_system": "tetragonal",
  "lattice_angstrom": [[-0.324, 3.446, -1.220], [-3.872, -0.435, -0.200], [-0.333, 1.269, 3.674]],
  "species": ["Ti", "O", "F", "F"],
  "fractional_positions": [[0.000, 0.000, 0.000], [0.500, 0.000, 0.000], [0.000, 0.500, 0.000], [0.000, 0.000, 0.500]]
}



{
  "formula": "Ga3HgSe",
  "functional": "GGA-PBEsol",
  "state": "relaxed",
  "raw_formation_energy_mev_per_atom": 417,
  "dos_ef_per_ev_cell": 1.63,
  "space_group": "Pm-3m, No. 221",
  "crystal_system": "cubic",
  "lattice_angstrom": [[4.998, 0.000, 0.000], [0.000, 4.998, 0.000], [0.000, 0.000, 4.998]],
  "species": ["Ga", "Ga", "Ga", "Hg", "Se"],
  "fractional_positions": [[0.000, 0.500, 0.000], [0.000, 0.000, 0.500], [0.500, 0.000, 0.000], [0.500, 0.500, 0.500], [0.000, 0.000, 0.000]]
}



{
  "formula": "RuRh",
  "functional": "GGA-PBEsol",
  "state": "relaxed",
  "dos_ef_per_ev_cell": 7.43,
  "space_group": "P6_3/mmc, No. 194",
  "crystal_system": "hexagonal",
  "e_form_ev_per_fu": 1.8,
  "lattice_angstrom": [[3.764, 0.000, 0.000], [-1.882, 3.260, 0.000], [0.000, 0.000, 5.125]],
  "species": ["Rh", "Rh", "Ru", "Ru"],
  "fractional_positions": [[0.667, 0.333, 0.750], [0.333, 0.667, 0.250], [0.000, 0.000, 0.000], [0.000, 0.000, 0.500]]
}



{
  "formula": "TlSi2Pb",
  "functional": "GGA-PBEsol",
  "state": "relaxed",
  "raw_formation_energy_mev_per_atom": 524,
  "dos_ef_per_ev_cell": 1.96,
  "space_group": "P2/m, No. 10",
  "crystal_system": "monoclinic",
  "lattice_angstrom": [[-2.878, 0.964, 1.221], [-1.055, -4.208, 0.837], [2.883, 0.481, 6.053]],
  "species": ["Pb", "Si", "Si", "Tl"],
  "fractional_positions": [[0.500, 0.500, 0.500], [0.007, 0.000, 0.688], [0.993, 0.000, 0.312], [0.500, 0.500, 0.000]]
}



{
  "formula": "K2LaTe",
  "functional": "GGA-PBEsol",
  "state": "relaxed",
  "raw_formation_energy_mev_per_atom": -351,
  "dos_ef_per_ev_cell": 3.65,
  "space_group": "I4/mmm, No. 139",
  "crystal_system": "tetragonal",
  "lattice_angstrom": [[4.713, 0.000, 0.000], [0.000, 4.713, 0.000], [-2.356, -2.356, 6.660]],
  "species": ["K", "K", "La", "Te"],
  "fractional_positions": [[0.750, 0.250, 0.500], [0.250, 0.750, 0.500], [0.500, 0.500, 0.000], [0.000, 0.000, 0.000]]
}



{
  "formula": "BaHfIr3",
  "functional": "GGA-PBEsol",
  "state": "relaxed",
  "dos_ef_per_ev_cell": 5.18,
  "space_group": "Pm-3m, No. 221",
  "crystal_system": "cubic",
  "e_form_ev_per_fu": 3.6,
  "lattice_angstrom": [[-2.374, 0.656, 4.245], [0.231, -4.823, 0.874], [4.289, 0.623, 2.302]],
  "species": ["Ir", "Ir", "Ir", "Hf", "Ba"],
  "fractional_positions": [[0.000, 0.500, 0.000], [0.000, 0.000, 0.500], [0.500, 0.000, 0.000], [0.000, 0.000, 0.000], [0.500, 0.500, 0.500]]
}



So what do the calculations give for VASP energy? Going down the list: -1.619 -6.987 -2.068 -2.581 -3.153 -5.097 -4.178 -1.975 -7.072 -4.706 -9.477 -8.290 -6.205 -6.310 -6.833 -5.892 -4.544 -3.808 -9.351 -7.542 -2.471 -8.274 -4.007 -3.135 -7.702 eV/atom.
So what do the calculations give for spin magnetization? Going down the list: 0.00 0.00 0.00 0.00 1.75 2.01 3.00 1.05 0.89 0.00 0.00 0.00 0.00 0.00 0.01 0.00 0.00 0.00 0.00 0.00 0.00 0.00 0.00 0.00 0.00 μB/f.u..
So what do the calculations give for mass density? Going down the list: 5.50 13.45 10.45 3.86 6.78 3.78 3.76 3.96 9.19 4.29 17.04 9.88 6.58 6.79 5.50 4.65 5.17 3.05 4.38 3.03 6.50 10.77 8.00 3.87 12.54 Mg/m³.